Entry from Alexandria via LeMat-Bulk: a geometry-optimized PrBeAl structure (PBE-GGA).

Lattice parameters (Å, degrees): 4.520 4.520 4.520 60.00 60.00 60.00
Positions (direct):
Pr 0.000 0.000 0.000
Be 0.250 0.250 0.250
Al 0.500 0.500 0.500

Values from the calculation:
calculated volume = 65.28 Å³/f.u.
E_form = -0.12 eV per atom
space group = No. 216